This record from the Alexandria database describes a relaxed Cu2NiO2 crystal. The functional is PBE+U.

Final energy (eV/atom): -4.4461
DOS at the Fermi energy (states/eV per cell): 6.6
M_tot (μB/cell): 1.53

a b c (Å): 5.459 5.459 3.676
angles (deg): 90.00 90.00 90.00
Element x y z (fractional)
Cu (0.172, 0.328, 0.000)
Cu (0.328, 0.828, 0.000)
Cu (0.672, 0.172, 0.000)
Cu (0.828, 0.672, 0.000)
Ni (0.000, 0.000, 0.500)
Ni (0.500, 0.500, 0.500)
O (0.193, 0.307, 0.500)
O (0.307, 0.807, 0.500)
O (0.693, 0.193, 0.500)
O (0.807, 0.693, 0.500)